(1)
Entry from Alexandria via LeMat-Bulk: crystalline TlTc2F at its relaxed geometry (PBE).

Its uncorrected formation energy is 0.21 eV per atom. The calculation puts the polymorph energy (0 for the lowest one) at 0.000 eV/atom.

The space group is I-42d (No. 122) and the conventional cell measures 3.5561, 3.5561 and 21.7799 Å, with angles of 90.00, 90.00 and 90.00 degrees. The inequivalent atoms are Tl at (0.0000, 0.0000, 0.0000), Tc at (0.2465, 0.7500, 0.6250) and F at (0.0000, 0.0000, 0.5000).

---

(2)
Entry from Alexandria via LeMat-Bulk: crystalline La2TbPaN5 at its relaxed geometry (PBE).

Its uncorrected formation energy is -1.15 eV per atom.

The space group is P4/mmm (No. 123) and the conventional cell measures 4.1809, 4.1809 and 9.0933 Å, with angles of 90.00, 90.00 and 90.00 degrees. The inequivalent atoms are La at (0.0000, 0.0000, 0.2317), Tb at (0.5000, 0.5000, 0.5000), Pa at (0.5000, 0.5000, 0.0000), N at (0.0000, 0.0000, 0.5000), N at (0.0000, 0.5000, 0.0000) and N at (0.5000, 0.5000, 0.2553).

---

(3)
Entry from Alexandria via LeMat-Bulk: crystalline NbVBiSb2 at its relaxed geometry (PBE).

Its uncorrected formation energy is 0.89 eV per atom.

The space group is P4/mmm (No. 123) and the conventional cell measures 5.0984, 5.0984 and 5.2706 Å, with angles of 90.00, 90.00 and 90.00 degrees. The inequivalent atoms are Nb at (0.0000, 0.0000, 0.0000), V at (0.5000, 0.5000, 0.5000), Bi at (0.5000, 0.5000, 0.0000) and Sb at (0.0000, 0.5000, 0.5000).

---

(4)
Entry from Alexandria via LeMat-Bulk: crystalline CsGeSbI6 at its relaxed geometry (PBE).

Its uncorrected formation energy is -0.60 eV per atom.

The space group is P312 (No. 149) and the conventional cell measures 7.8399, 7.8399 and 8.7723 Å, with angles of 90.00, 90.00 and 120.00 degrees. The inequivalent atoms are Cs at (0.0000, 0.0000, 0.0000), Ge at (0.6667, 0.3333, 0.5000), Sb at (0.3333, 0.6667, 0.5000) and I at (0.3737, 0.0032, 0.7023).

---

(5)
Entry from Alexandria via LeMat-Bulk: crystalline LiLaAl2Ir at its relaxed geometry (PBE).

For the energy of formation from the pure elements, the calculation gives -0.468 eV per atom.

The space group is P4/mmm (No. 123) and the conventional cell measures 4.7260, 4.7260 and 4.7903 Å, with angles of 90.00, 90.00 and 90.00 degrees. The inequivalent atoms are Li at (0.0000, 0.0000, 0.0000), La at (0.5000, 0.5000, 0.0000), Al at (0.0000, 0.5000, 0.5000) and Ir at (0.0000, 0.0000, 0.5000).

---

(6)
Entry from Alexandria via LeMat-Bulk: crystalline AgHgI2 at its relaxed geometry (PBE).

Its uncorrected formation energy is -0.10 eV per atom. The calculation puts the polymorph energy (0 for the lowest one) at 0.131 eV/atom.

The space group is I-42d (No. 122) and the conventional cell measures 6.9728, 6.9728 and 13.8167 Å, with angles of 90.00, 90.00 and 90.00 degrees. The inequivalent atoms are Ag at (0.0000, 0.0000, 0.0000), Hg at (0.0000, 0.0000, 0.5000) and I at (0.2149, 0.2500, 0.1250).

---

(7)
Entry from Alexandria via LeMat-Bulk: crystalline Zn2TcAg at its relaxed geometry (PBE).

For the energy of formation from the pure elements, the calculation gives 0.065 eV per atom. The calculation puts the polymorph energy (0 for the lowest one) at 0.000 eV/atom.

The space group is R-3m (No. 166, hexagonal axes) and the conventional cell measures 2.7987, 2.7987 and 26.9580 Å, with angles of 90.00, 90.00 and 120.00 degrees. The inequivalent atoms are Zn at (0.0000, 0.0000, 0.2476), Tc at (0.0000, 0.0000, 0.5000) and Ag at (0.0000, 0.0000, 0.0000).

---

(8)
Entry from Alexandria via LeMat-Bulk: crystalline AgSI at its relaxed geometry (PBE).

Its uncorrected formation energy is 0.18 eV per atom. The calculation puts the polymorph energy (0 for the lowest one) at 0.200 eV/atom.

The space group is Pm (No. 6) and the conventional cell measures 4.7655, 3.9867 and 4.8033 Å, with angles of 90.00, 108.64 and 90.00 degrees. The inequivalent atoms are Ag at (0.0000, 0.0000, 0.0000), S at (0.7999, 0.5000, 0.1995) and I at (0.2837, 0.5000, 0.7146).

---

Raw total energy (eV/atom)
-6.035 -8.444 -5.371 -2.699 -5.105 -1.668 -3.876 -2.662
Density of states at the Fermi level (states/eV/cell)
14.3 4.2 9.0 0.0 2.2 13.2 5.3 1.8